No. 1
A plane-wave DFT calculation with PBE was carried out for an optimized crystal structure of AlRe2Sb.

Computed properties:
DFT total energy (eV/atom): -7.8769
Symmetry: Fm-3m
Formation energy from raw total energies (eV/atom): 0.31
Energy relative to the lowest polymorph listed for this composition (kJ per mole of atoms): 19.0
M_tot (μB per formula unit): 0.000

POSCAR file:
```
AlRe2Sb
1.0
0.0000 3.1700 3.1700
3.1700 0.0000 3.1700
3.1700 3.1700 0.0000
Al Re Sb
1 2 1
Direct
0.0000 0.0000 0.0000
0.2500 0.2500 0.2500
0.7500 0.7500 0.7500
0.5000 0.5000 0.5000
```



No. 2
A plane-wave DFT calculation with PBE was carried out for an optimized crystal structure of AlReSb4.

Computed properties:
DFT total energy (eV/atom): -4.2328
Symmetry: F-43m
Formation energy from raw total energies (eV/atom): 1.21
M_tot (μB per formula unit): 3.829

POSCAR file:
```
AlReSb4
1.0
0.0000 4.3223 4.3223
4.3223 0.0000 4.3223
4.3223 4.3223 0.0000
Al Re Sb
1 1 4
Direct
0.0000 0.0000 0.0000
0.7500 0.7500 0.7500
0.3750 0.3750 0.3750
0.3750 0.3750 0.8749
0.3750 0.8749 0.3750
0.8749 0.3750 0.3750
```



No. 3
A plane-wave DFT calculation with PBE was carried out for an optimized crystal structure of AlRe2Sb.

Computed properties:
DFT total energy (eV/atom): -7.5518
Symmetry: Cmmm
Formation energy from raw total energies (eV/atom): 0.64
Energy relative to the lowest polymorph listed for this composition (kJ per mole of atoms): 50.3
M_tot (μB per formula unit): 0.000

POSCAR file:
```
AlRe2Sb
1.0
1.5839 -2.4603 0.0000
1.5839 2.4603 0.0000
0.0000 0.0000 8.6319
Al Re Sb
1 2 1
Direct
0.0000 0.0000 0.0000
0.5000 0.5000 0.2358
0.5000 0.5000 0.7642
0.0000 0.0000 0.5000
```



No. 4
A plane-wave DFT calculation with PBE was carried out for an optimized crystal structure of AlRe2Sb.

Computed properties:
DFT total energy (eV/atom): -7.8462
Symmetry: C2/m
Formation energy from raw total energies (eV/atom): 0.34
Energy relative to the lowest polymorph listed for this composition (kJ per mole of atoms): 21.9
M_tot (μB per formula unit): 0.000

POSCAR file:
```
AlRe2Sb
1.0
4.3987 -1.5097 0.0000
4.3987 1.5097 0.0000
-0.9423 0.0000 4.9878
Al Re Sb
1 2 1
Direct
0.0000 0.0000 0.0000
0.2637 0.2637 0.7834
0.7363 0.7363 0.2166
0.5000 0.5000 0.5000
```



No. 5
A plane-wave DFT calculation with PBE was carried out for an optimized crystal structure of AlRe2Sb.

Computed properties:
DFT total energy (eV/atom): -7.9639
Symmetry: Cm
Formation energy from raw total energies (eV/atom): 0.23
Energy relative to the lowest polymorph listed for this composition (kJ per mole of atoms): 10.6
M_tot (μB per formula unit): 0.000

POSCAR file:
```
AlRe2Sb
1.0
4.6853 -1.5568 0.0000
4.6853 1.5568 0.0000
-1.5517 0.0000 4.4981
Al Re Sb
1 2 1
Direct
0.0000 0.0000 0.0000
0.2544 0.2544 0.8624
0.5247 0.5247 0.5179
0.7695 0.7695 0.3453
```



No. 6
A plane-wave DFT calculation with PBE was carried out for an optimized crystal structure of AlRe2Sb.

Computed properties:
DFT total energy (eV/atom): -7.9109
Symmetry: Pmm2
Formation energy from raw total energies (eV/atom): 0.28
Energy relative to the lowest polymorph listed for this composition (kJ per mole of atoms): 15.7
M_tot (μB per formula unit): 0.000

POSCAR file:
```
AlRe2Sb
1.0
3.0566 0.0000 0.0000
0.0000 4.5839 0.0000
0.0000 0.0000 4.6651
Al Re Sb
1 2 1
Direct
0.0000 0.0000 0.0000
0.0000 0.5000 0.6992
0.5000 0.0000 0.5070
0.5000 0.5000 0.1826
```



no.,theoretical density (g/cm3)
1,13.6
2,7.2
3,12.9
4,13.1
5,13.2
6,13.2